Entry 1:
Computed, not measured: a geometry-optimized ErAl2ZnCu4 structure at the PBE-GGA level of DFT.

Lattice parameters (Å, degrees): 4.1684 4.1684 24.6130 90.00 90.00 120.00
Space group R-3m (No. 166, hexagonal axes)
Symmetry-distinct sites (fractional):
1 Er 0.0000 0.0000 0.0000
2 Al 0.0000 0.0000 0.2428
3 Zn 0.0000 0.0000 0.5000
4 Cu 0.0000 0.0000 0.1306
5 Cu 0.0000 0.0000 0.4003

Summary:
The value obtained for the formation energy is -0.24 eV per atom.


Entry 2:
Computed, not measured: a geometry-optimized TaBr structure at the PBE-GGA level of DFT.

Lattice parameters (Å, degrees): 12.953 3.259 7.293 90.00 100.52 90.00
Space group Cm (No. 8)
Symmetry-distinct sites (fractional):
1 Ta 0.000 0.000 0.000
2 Ta 0.001 0.000 0.372
3 Ta 0.135 0.500 0.240
4 Br 0.070 0.500 0.702
5 Br 0.316 0.000 0.381
6 Br 0.337 0.000 0.904

Summary:
Its total DFT energy (no corrections) is -6.683 eV/atom.


Number 1: D(E_F) 0.545 states/eV per atom. Number 2: D(E_F) 0.630 states/eV per atom.